DFT (PBE) results for a relaxed Pm2HoErTl4 crystal.

Lattice parameters (Å, degrees): 5.4111 5.4111 26.5640 90.00 90.00 120.00
Space group R-3m (No. 166, hexagonal axes)
Asymmetric unit:
Pm 0.0000 0.0000 0.2499
Ho 0.0000 0.0000 0.0000
Er 0.0000 0.0000 0.5000
Tl 0.0000 0.0000 0.1252
Tl 0.0000 0.0000 0.3751

Results
E_form in meV per atom: -351